Record 1
The following is a PBE calculation of a relaxed Be2TeIr crystal, from the Alexandria database.

Properties
Raw formation energy, meV per atom: 356

The structure in POSCAR format:
```
Be2TeIr
1.0
5.3102 0.0000 0.0000
0.0000 7.0490 0.0000
0.0000 0.0000 3.0174
Be Te Ir
4 2 2
Direct
0.2500 0.2500 0.0000
0.2500 0.7500 0.0000
0.7500 0.2500 0.0000
0.7500 0.7500 0.0000
0.0000 0.0000 0.5000
0.5000 0.5000 0.5000
0.0000 0.5000 0.5000
0.5000 0.0000 0.5000
```

=====

Record 2
The following is a PBE calculation of a relaxed YCrNi crystal, from the Alexandria database.

Properties
DFT formation energy, kJ/mol of formula units: 29

The structure in POSCAR format:
```
YCrNi
1.0
4.1216 0.0000 0.0000
-2.0608 3.5694 0.0000
0.0000 0.0000 3.8542
Y Cr Ni
1 1 1
Direct
0.0000 0.0000 0.0000
0.6667 0.3333 0.5000
0.3333 0.6667 0.5000
```

=====

Record 3
The following is a PBE calculation of a relaxed SmHoSi crystal, from the Alexandria database.

Properties
Raw formation energy, meV per atom: -551

The structure in POSCAR format:
```
SmHoSi
1.0
4.2589 0.0000 0.0000
0.0000 11.5063 0.0000
0.0000 0.0000 6.4473
Sm Ho Si
4 4 4
Direct
0.0000 0.2058 0.2500
0.0000 0.7942 0.7500
0.5000 0.2942 0.7500
0.5000 0.7058 0.2500
0.0000 0.5000 0.0000
0.0000 0.5000 0.5000
0.5000 0.0000 0.0000
0.5000 0.0000 0.5000
0.0000 0.1112 0.7500
0.0000 0.8888 0.2500
0.5000 0.3888 0.2500
0.5000 0.6112 0.7500
```

=====

Record 4
The following is a PBE calculation of a relaxed La2BeFe crystal, from the Alexandria database.

Properties
DFT formation energy, kJ/mol of formula units: 113

The structure in POSCAR format:
```
La2BeFe
1.0
3.6091 0.0000 0.0000
0.0000 3.6127 0.0000
-0.0421 0.0000 7.0201
La Be Fe
2 1 1
Direct
0.0032 0.0000 0.2528
0.9968 0.0000 0.7472
0.5000 0.5000 0.0000
0.5000 0.5000 0.5000
```

=====

Record 5
The following is a PBE calculation of a relaxed TaZn2Pt2 crystal, from the Alexandria database.

Properties
DFT formation energy, kJ/mol of formula units: -221

The structure in POSCAR format:
```
TaZn2Pt2
1.0
4.0610 0.0000 0.0000
0.0000 13.6384 0.0000
0.0000 0.0000 2.7792
Ta Zn Pt
2 4 4
Direct
0.0000 0.0000 0.0000
0.5000 0.5000 0.0000
0.0000 0.1999 0.0000
0.0000 0.8001 0.0000
0.5000 0.3001 0.0000
0.5000 0.6999 0.0000
0.0000 0.3933 0.5000
0.0000 0.6067 0.5000
0.5000 0.1067 0.5000
0.5000 0.8933 0.5000
```

=====

Record 6
The following is a PBE calculation of a relaxed ZrIn3Pd crystal, from the Alexandria database.

Properties
DFT formation energy, kJ/mol of formula units: 424

The structure in POSCAR format:
```
ZrIn3Pd
1.0
5.5152 0.0000 0.0000
0.0000 5.5152 0.0000
0.0000 0.0000 5.5152
Zr In Pd
1 3 1
Direct
0.0000 0.0000 0.0000
0.0000 0.0000 0.5000
0.0000 0.5000 0.0000
0.5000 0.0000 0.0000
0.5000 0.5000 0.5000
```

=====

What did the third record say?
The following is a PBE calculation of a relaxed SmHoSi crystal, from the Alexandria database.

Properties
Raw formation energy, meV per atom: -551

The structure in POSCAR format:
```
SmHoSi
1.0
4.2589 0.0000 0.0000
0.0000 11.5063 0.0000
0.0000 0.0000 6.4473
Sm Ho Si
4 4 4
Direct
0.0000 0.2058 0.2500
0.0000 0.7942 0.7500
0.5000 0.2942 0.7500
0.5000 0.7058 0.2500
0.0000 0.5000 0.0000
0.0000 0.5000 0.5000
0.5000 0.0000 0.0000
0.5000 0.0000 0.5000
0.0000 0.1112 0.7500
0.0000 0.8888 0.2500
0.5000 0.3888 0.2500
0.5000 0.6112 0.7500
```

=====

What did the fourth record say?
The following is a PBE calculation of a relaxed La2BeFe crystal, from the Alexandria database.

Properties
DFT formation energy, kJ/mol of formula units: 113

The structure in POSCAR format:
```
La2BeFe
1.0
3.6091 0.0000 0.0000
0.0000 3.6127 0.0000
-0.0421 0.0000 7.0201
La Be Fe
2 1 1
Direct
0.0032 0.0000 0.2528
0.9968 0.0000 0.7472
0.5000 0.5000 0.0000
0.5000 0.5000 0.5000
```